[1]
A relaxed structure of CePuHfTh, computed with PBE.

CIF file:
```
data_CePuHfTh
_chemical_formula_sum 'Ce4 Pu4 Hf4 Th4'
_cell_length_a 7.5356
_cell_length_b 7.5356
_cell_length_c 7.5356
_cell_angle_alpha 90.00
_cell_angle_beta 90.00
_cell_angle_gamma 90.00
_symmetry_space_group_name_H-M 'F -4 3 m'
_symmetry_Int_Tables_number 216
_symmetry_space_group_name_Hall 'F -4 2 3'
loop_
_atom_site_label
_atom_site_type_symbol
_atom_site_fract_x
_atom_site_fract_y
_atom_site_fract_z
Ce1 Ce 0.0000 0.0000 0.0000
Pu1 Pu 0.0000 0.0000 0.5000
Hf1 Hf 0.2500 0.2500 0.2500
Th1 Th 0.2500 0.2500 0.7500
```

Summary:
Formation enthalpy at 0 K = 29 kJ/mol of atoms

=====

[2]
A relaxed structure of Rb4Ce3HfS8, computed with PBE.

CIF file:
```
data_Rb4Ce3HfS8
_chemical_formula_sum 'Rb12 Ce9 Hf3 S24'
_cell_length_a 8.2226
_cell_length_b 8.2226
_cell_length_c 23.1148
_cell_angle_alpha 90.00
_cell_angle_beta 90.00
_cell_angle_gamma 120.00
_symmetry_space_group_name_H-M 'R -3 m'
_symmetry_Int_Tables_number 166
_symmetry_space_group_name_Hall '-R 3 2"'
loop_
_atom_site_label
_atom_site_type_symbol
_atom_site_fract_x
_atom_site_fract_y
_atom_site_fract_z
Rb1 Rb 0.0000 0.0000 0.0000
Rb2 Rb 0.0000 0.5000 0.0000
Ce1 Ce 0.0000 0.5000 0.5000
Hf1 Hf 0.0000 0.0000 0.5000
S1 S 0.0000 0.0000 0.2341
S2 S 0.0249 0.5125 0.2301
```

Summary:
Total DFT energy (no corrections) = -5.70 eV per atom

=====

[3]
A relaxed structure of Rb2Ce2HfS6, computed with PBE.

CIF file:
```
data_Rb2Ce2HfS6
_chemical_formula_sum 'Rb4 Ce4 Hf2 S12'
_cell_length_a 7.0475
_cell_length_b 12.0316
_cell_length_c 8.1862
_cell_angle_alpha 90.00
_cell_angle_beta 106.80
_cell_angle_gamma 90.00
_symmetry_space_group_name_H-M 'C 1 2/m 1'
_symmetry_Int_Tables_number 12
loop_
_symmetry_equiv_pos_as_xyz
'x,y,z'
'-x,-y,-z'
'-x,y,-z'
'x,-y,z'
'x+1/2,y+1/2,z'
'-x+1/2,-y+1/2,-z'
'-x+1/2,y+1/2,-z'
'x+1/2,-y+1/2,z'
loop_
_atom_site_label
_atom_site_type_symbol
_atom_site_fract_x
_atom_site_fract_y
_atom_site_fract_z
Rb1 Rb 0.0000 0.1701 0.0000
Ce1 Ce 0.0000 0.3342 0.5000
Hf1 Hf 0.0000 0.0000 0.5000
S1 S 0.2164 0.1543 0.6858
S2 S 0.2403 0.0000 0.3142
```

Summary:
Total DFT energy (no corrections) = -6.13 eV per atom

=====

[4]
A relaxed structure of Rb3Ce3HfS8, computed with PBE.

CIF file:
```
data_Rb3Ce3HfS8
_chemical_formula_sum 'Rb9 Ce9 Hf3 S24'
_cell_length_a 8.2029
_cell_length_b 8.2029
_cell_length_c 23.4745
_cell_angle_alpha 90.00
_cell_angle_beta 90.00
_cell_angle_gamma 120.00
_symmetry_space_group_name_H-M 'R -3 m'
_symmetry_Int_Tables_number 166
_symmetry_space_group_name_Hall '-R 3 2"'
loop_
_atom_site_label
_atom_site_type_symbol
_atom_site_fract_x
_atom_site_fract_y
_atom_site_fract_z
Rb1 Rb 0.0000 0.5000 0.0000
Ce1 Ce 0.0000 0.5000 0.5000
Hf1 Hf 0.0000 0.0000 0.5000
S1 S 0.0000 0.0000 0.2326
S2 S 0.0276 0.5138 0.2276
```

Summary:
Total DFT energy (no corrections) = -5.98 eV per atom

=====

[5]
A relaxed structure of Rb3Ce2HfSe6, computed with PBE.

CIF file:
```
data_Rb3Ce2HfSe6
_chemical_formula_sum 'Rb6 Ce4 Hf2 Se12'
_cell_length_a 7.3423
_cell_length_b 12.7172
_cell_length_c 8.3949
_cell_angle_alpha 90.00
_cell_angle_beta 107.03
_cell_angle_gamma 90.00
_symmetry_space_group_name_H-M 'C 1 2/m 1'
_symmetry_Int_Tables_number 12
loop_
_symmetry_equiv_pos_as_xyz
'x,y,z'
'-x,-y,-z'
'-x,y,-z'
'x,-y,z'
'x+1/2,y+1/2,z'
'-x+1/2,-y+1/2,-z'
'-x+1/2,y+1/2,-z'
'x+1/2,-y+1/2,z'
loop_
_atom_site_label
_atom_site_type_symbol
_atom_site_fract_x
_atom_site_fract_y
_atom_site_fract_z
Rb1 Rb 0.0000 0.0000 0.0000
Rb2 Rb 0.0000 0.3292 0.0000
Ce1 Ce 0.0000 0.1662 0.5000
Hf1 Hf 0.0000 0.5000 0.5000
Se1 Se 0.2200 0.3453 0.6960
Se2 Se 0.2426 0.5000 0.3026
```

Summary:
Total DFT energy (no corrections) = -5.31 eV per atom

=====

[6]
A relaxed structure of Rb3Ce2HfTe6, computed with PBE.

CIF file:
```
data_Rb3Ce2HfTe6
_chemical_formula_sum 'Rb6 Ce4 Hf2 Te12'
_cell_length_a 7.8278
_cell_length_b 13.5625
_cell_length_c 8.9833
_cell_angle_alpha 90.00
_cell_angle_beta 106.98
_cell_angle_gamma 90.00
_symmetry_space_group_name_H-M 'C 1 2/m 1'
_symmetry_Int_Tables_number 12
loop_
_symmetry_equiv_pos_as_xyz
'x,y,z'
'-x,-y,-z'
'-x,y,-z'
'x,-y,z'
'x+1/2,y+1/2,z'
'-x+1/2,-y+1/2,-z'
'-x+1/2,y+1/2,-z'
'x+1/2,-y+1/2,z'
loop_
_atom_site_label
_atom_site_type_symbol
_atom_site_fract_x
_atom_site_fract_y
_atom_site_fract_z
Rb1 Rb 0.0000 0.0000 0.0000
Rb2 Rb 0.0000 0.3273 0.0000
Ce1 Ce 0.0000 0.1659 0.5000
Hf1 Hf 0.0000 0.5000 0.5000
Te1 Te 0.2216 0.3448 0.6995
Te2 Te 0.2421 0.5000 0.2986
```

Summary:
Total DFT energy (no corrections) = -4.79 eV per atom